[1]
Entry from Alexandria: Ba3SrCr after structural relaxation (PBE).

The crystal system is cubic. The formation energy comes out at 338 kJ/mol of formula units. The theoretical density is 3876 kg/m³. For the total energy, the calculation gives -0.199 Ry/atom. The magnetic moment is 0.0 Bohr magnetons per cell.

CIF file:
```
data_Ba3SrCr
_cell_length_a 6.1827
_cell_length_b 6.1827
_cell_length_c 6.1827
_cell_angle_alpha 90.00
_cell_angle_beta 90.00
_cell_angle_gamma 90.00
_symmetry_space_group_name_H-M 'P 1'
_symmetry_Int_Tables_number 1
loop_
_symmetry_equiv_pos_as_xyz
'x,y,z'
loop_
_atom_site_label
_atom_site_type_symbol
_atom_site_fract_x
_atom_site_fract_y
_atom_site_fract_z
Ba1 Ba 0.0000 0.5000 0.0000
Ba2 Ba 0.0000 0.0000 0.5000
Ba3 Ba 0.5000 0.0000 0.0000
Sr1 Sr 0.5000 0.5000 0.5000
Cr1 Cr 0.0000 0.0000 0.0000
```

=====

[2]
Entry from Alexandria: ErThTlBi after structural relaxation (PBE).

The crystal system is cubic. The formation energy comes out at -107 kJ/mol of formula units. The theoretical density is 11524 kg/m³. For the total energy, the calculation gives -0.355 Ry/atom. The magnetic moment is 0.0 Bohr magnetons per cell.

CIF file:
```
data_ErThTlBi
_cell_length_a 5.4914
_cell_length_b 5.4914
_cell_length_c 5.4914
_cell_angle_alpha 60.00
_cell_angle_beta 60.00
_cell_angle_gamma 60.00
_symmetry_space_group_name_H-M 'P 1'
_symmetry_Int_Tables_number 1
loop_
_symmetry_equiv_pos_as_xyz
'x,y,z'
loop_
_atom_site_label
_atom_site_type_symbol
_atom_site_fract_x
_atom_site_fract_y
_atom_site_fract_z
Bi1 Bi 0.0000 0.0000 0.0000
Th1 Th 0.2500 0.2500 0.2500
Tl1 Tl 0.5000 0.5000 0.5000
Er1 Er 0.7500 0.7500 0.7500
```

=====

[3]
Entry from Alexandria: ScAlZnNi after structural relaxation (PBE).

The crystal system is cubic. The formation energy comes out at -188 kJ/mol of formula units. The theoretical density is 5409 kg/m³. For the total energy, the calculation gives -0.351 Ry/atom. The magnetic moment is 0.0 Bohr magnetons per cell.

CIF file:
```
data_ScAlZnNi
_cell_length_a 4.3986
_cell_length_b 4.3986
_cell_length_c 4.3986
_cell_angle_alpha 60.00
_cell_angle_beta 60.00
_cell_angle_gamma 60.00
_symmetry_space_group_name_H-M 'P 1'
_symmetry_Int_Tables_number 1
loop_
_symmetry_equiv_pos_as_xyz
'x,y,z'
loop_
_atom_site_label
_atom_site_type_symbol
_atom_site_fract_x
_atom_site_fract_y
_atom_site_fract_z
Ni1 Ni 0.2500 0.2500 0.2500
Zn1 Zn 0.7500 0.7500 0.7500
Al1 Al 0.0000 0.0000 0.0000
Sc1 Sc 0.5000 0.5000 0.5000
```

=====

[4]
Entry from Alexandria: TiGa3B after structural relaxation (PBE).

Its energy above the most stable polymorph in this dataset is 0.0 kJ/mol of atoms. The crystal system is cubic. The formation energy comes out at 254 kJ/mol of formula units. The theoretical density is 5546 kg/m³. For the total energy, the calculation gives -0.309 Ry/atom. The magnetic moment is 0.0 Bohr magnetons per cell.

CIF file:
```
data_TiGa3B
_cell_length_a 4.3125
_cell_length_b 4.3125
_cell_length_c 4.3125
_cell_angle_alpha 90.00
_cell_angle_beta 90.00
_cell_angle_gamma 90.00
_symmetry_space_group_name_H-M 'P 1'
_symmetry_Int_Tables_number 1
loop_
_symmetry_equiv_pos_as_xyz
'x,y,z'
loop_
_atom_site_label
_atom_site_type_symbol
_atom_site_fract_x
_atom_site_fract_y
_atom_site_fract_z
Ga1 Ga 0.5000 0.0000 0.0000
Ga2 Ga 0.0000 0.5000 0.0000
Ga3 Ga 0.0000 0.0000 0.5000
B1 B 0.0000 0.0000 0.0000
Ti1 Ti 0.5000 0.5000 0.5000
```